# La2CeY4 (PBE, relaxed)
data_La2CeY4
_cell_length_a 7.894
_cell_length_b 7.894
_cell_length_c 8.075
_cell_angle_alpha 90.13
_cell_angle_beta 90.13
_cell_angle_gamma 90.01
_symmetry_space_group_name_H-M 'P 1'
_symmetry_Int_Tables_number 1
loop_
_symmetry_equiv_pos_as_xyz
'x,y,z'
loop_
_atom_site_label
_atom_site_fract_x
_atom_site_fract_y
_atom_site_fract_z
_atom_site_occupancy
La1 0.000 0.000 0.000 1
La2 0.000 0.000 0.500 1
La3 0.000 0.500 0.000 1
La4 0.500 0.000 0.000 1
Ce1 0.500 0.500 0.000 1
Ce2 0.500 0.500 0.500 1
Y1 0.254 0.744 0.721 1
Y2 0.255 0.255 0.280 1
Y3 0.255 0.255 0.721 1
Y4 0.256 0.746 0.279 1
Y5 0.744 0.254 0.721 1
Y6 0.745 0.745 0.279 1
Y7 0.745 0.745 0.720 1
Y8 0.746 0.256 0.279 1
# Calculated formation energy: 0.336 eV/atom